Entry 1:
VASP calculation (PBE) on an optimized crystal structure of Ce2ZnB2Rh5.

Output
Volume   14.9 Å³/atom
E   -7.0039 eV/atom
Total magnetic moment   0.60 μB per cell

a = 3.298 Å, b = 9.490 Å, c = 9.490 Å
α = 90.00°, β = 90.00°, γ = 90.00°
Each line ends with the local moment (μB).
Atoms (fractional coordinates):
Rh1 0.500 0.929 0.220  -0.01
Ce1 0.000 0.677 0.177  0.17
B1 0.000 0.378 0.122  0.00
Rh2 0.500 0.500 0.000  -0.01
B2 0.000 0.878 0.378  0.00
Rh3 0.500 0.429 0.280  -0.01
B3 0.000 0.622 0.878  0.00
Zn1 0.000 0.500 0.500  0.00
Rh4 0.500 0.571 0.720  -0.01
Ce2 0.000 0.823 0.677  0.17
Rh5 0.500 0.780 0.929  -0.01
Rh6 0.500 0.071 0.780  -0.01
Rh7 0.500 0.220 0.071  -0.01
Ce3 0.000 0.177 0.323  0.17
Rh8 0.500 0.280 0.571  -0.01
Rh9 0.500 0.720 0.429  -0.01
Ce4 0.000 0.323 0.823  0.17
Rh10 0.500 0.000 0.500  -0.01
Zn2 0.000 0.000 0.000  0.00
B4 0.000 0.122 0.622  0.00

Entry 2:
VASP calculation (PBE) on an optimized crystal structure of Ce4ZnB3Rh12.

Output
Volume   16.1 Å³/atom
E   -7.3011 eV/atom
Total magnetic moment   0.36 μB per cell

a = 7.473 Å, b = 7.473 Å, c = 7.473 Å
α = 109.47°, β = 109.47°, γ = 109.47°
Each line ends with the local moment (μB).
Atoms (fractional coordinates):
Rh1 0.272 0.000 0.272  -0.05
Rh2 0.500 0.250 0.750  -0.07
Rh3 0.728 0.000 0.728  -0.05
Ce1 0.000 0.000 0.500  0.24
B1 0.500 0.500 0.000  0.00
Zn1 0.000 0.000 0.000  0.00
Rh4 0.272 0.272 0.000  -0.05
Rh5 0.250 0.500 0.750  -0.07
Ce2 0.500 0.500 0.500  0.24
Rh6 0.500 0.750 0.250  -0.07
Rh7 0.000 0.728 0.728  -0.05
Rh8 0.250 0.750 0.500  -0.07
Ce3 0.000 0.500 0.000  0.24
B2 0.000 0.500 0.500  0.00
Rh9 0.000 0.272 0.272  -0.05
B3 0.500 0.000 0.500  0.00
Rh10 0.728 0.728 0.000  -0.05
Rh11 0.750 0.500 0.250  -0.07
Rh12 0.750 0.250 0.500  -0.07
Ce4 0.500 0.000 0.000  0.24

Entry 3:
VASP calculation (PBE) on an optimized crystal structure of Ce2ZnBRh6.

Output
Volume   16.9 Å³/atom
E   -6.9481 eV/atom
Total magnetic moment   0.00 μB per cell

a = 5.609 Å, b = 7.019 Å, c = 7.017 Å
α = 48.76°, β = 62.78°, γ = 88.23°
Atoms (fractional coordinates):
Rh1 0.204 0.686 0.958
Rh2 0.796 0.838 0.518
Rh3 0.331 0.286 0.955
Rh4 0.669 0.714 0.045
Rh5 0.204 0.162 0.482
Rh6 0.796 0.314 0.042
Ce1 0.698 0.256 0.558
Zn1 0.000 0.000 0.000
B1 0.500 0.500 0.000
Ce2 0.302 0.744 0.442

Entry 4:
VASP calculation (PBE) on an optimized crystal structure of Ce2B10Ru.

Output
Volume   10.5 Å³/atom
E   -7.3186 eV/atom
Total magnetic moment   1.09 μB per cell

a = 4.179 Å, b = 5.715 Å, c = 11.404 Å
α = 90.00°, β = 90.00°, γ = 90.00°
Each line ends with the local moment (μB).
Atoms (fractional coordinates):
Ce1 0.500 0.217 0.368  0.24
B1 0.301 0.778 0.881  0.00
B2 0.000 0.618 0.957  0.00
B3 0.699 0.722 0.381  0.00
B4 0.000 0.633 0.803  0.00
Ru1 0.000 0.500 0.500  -0.01
B5 0.301 0.222 0.119  0.00
B6 0.000 0.059 0.193  0.00
B7 0.000 0.382 0.043  0.00
B8 0.000 0.118 0.543  0.00
B9 0.000 0.133 0.697  0.00
B10 0.699 0.278 0.619  0.00
B11 0.699 0.222 0.119  0.00
B12 0.301 0.278 0.619  0.00
Ru2 0.000 0.000 0.000  -0.01
B13 0.699 0.778 0.881  0.00
Ce2 0.500 0.783 0.632  0.24
Ce3 0.500 0.717 0.132  0.24
B14 0.000 0.867 0.303  0.00
B15 0.000 0.882 0.457  0.00
Ce4 0.500 0.283 0.868  0.24
B16 0.000 0.441 0.693  0.00
B17 0.301 0.722 0.381  0.00
B18 0.000 0.941 0.807  0.00
B19 0.000 0.367 0.197  0.00
B20 0.000 0.559 0.307  0.00

Calculated calculated density in order - 9.9, 9.8, 9.6, 6.0 g/cm³